SmPbSe2 | PBE | optimized geometry

Values from the calculation:
DFT total energy = -19.82 eV for the cell shown
total magnetization = 0.004 μB per atom

a = 4.274 Å, b = 4.274 Å, c = 6.067 Å
α = 90.00°, β = 90.00°, γ = 90.00°
Fractional positions:
1 Sm 0.000 0.000 0.000
2 Se 0.000 0.000 0.500
3 Se 0.500 0.500 0.000
4 Pb 0.500 0.500 0.500